Compound: Ba2AlZn2
Source: Alexandria
Functional: PBE-GGA
Structure: optimized geometry

Lattice parameters (Å, degrees): 7.5418 7.5418 5.2648 90.00 90.00 90.00
Element x y z (fractional)
Ba (0.1885, 0.3115, 0.0000)
Ba (0.3115, 0.8115, 0.0000)
Ba (0.6885, 0.1885, 0.0000)
Ba (0.8115, 0.6885, 0.0000)
Al (0.0000, 0.0000, 0.5000)
Al (0.5000, 0.5000, 0.5000)
Zn (0.1213, 0.6213, 0.5000)
Zn (0.3787, 0.1213, 0.5000)
Zn (0.6213, 0.8787, 0.5000)
Zn (0.8787, 0.3787, 0.5000)

The total energy is -2.09 eV/atom. The formation energy is -0.07 eV/atom. The polymorph energy (0 for the lowest one) is 105 meV/atom.